Entry from Alexandria: a relaxed structure of Ca2ZnAg (PBE).

abc: 4.451 4.451 10.391
angles: 90.00 90.00 90.00
Space group I-4m2 (No. 119)
Asymmetric unit:
1 Ca 0.000 0.000 0.000 [2 per cell]
2 Ca 0.000 0.500 0.250 [2 per cell]
3 Zn 0.000 0.500 0.750 [2 per cell]
4 Ag 0.000 0.000 0.500 [2 per cell]

Output
The crystal system is tetragonal. As for the volume: 25.73 Å³ per atom. The calculation puts the magnetic moment at 0.00 Bohr magnetons per cell. As for the density: 4.09 g/cm³. For the energy of formation, the calculation gives -12 kJ/mol of atoms.



Entry from Alexandria: a relaxed structure of Li2AgOs (PBE).

abc: 2.628 2.628 8.518
angles: 90.00 90.00 90.00
Space group P4/mmm (No. 123)
Asymmetric unit:
1 Li 0.000 0.000 0.241 [2 per cell]
2 Ag 0.500 0.500 0.500 [1 per cell]
3 Os 0.500 0.500 0.000 [1 per cell]

Output
The crystal system is tetragonal. Its energy above the most stable polymorph in this dataset is 78 meV/atom. As for the volume: 14.71 Å³ per atom. The calculation puts the magnetic moment at 0.01 Bohr magnetons per cell. As for the density: 8.81 g/cm³. For the energy of formation, the calculation gives 15 kJ/mol of atoms.



Entry from Alexandria: a relaxed structure of TcAsBr2 (PBE).

abc: 9.330 9.330 4.734
angles: 90.00 90.00 90.00
Space group I-42d (No. 122)
Asymmetric unit:
1 Tc 0.000 0.000 0.000 [4 per cell]
2 As 0.000 0.000 0.500 [4 per cell]
3 Br 0.109 0.750 0.125 [8 per cell]

Output
The crystal system is tetragonal. Its energy above the most stable polymorph in this dataset is 151 meV/atom. As for the volume: 25.75 Å³ per atom. The calculation puts the magnetic moment at 0.00 Bohr magnetons per cell. As for the density: 5.36 g/cm³. For the raw formation energy, the calculation gives 119 meV/atom.



Entry from Alexandria: a relaxed structure of Cd2HgMo (PBE).

abc: 5.950 8.950 2.951
angles: 90.00 90.00 90.00
Space group Cmmm (No. 65)
Asymmetric unit:
1 Cd 0.250 0.250 0.000 [4 per cell]
2 Hg 0.000 0.000 0.500 [2 per cell]
3 Mo 0.000 0.500 0.500 [2 per cell]

Output
The crystal system is orthorhombic. As for the volume: 19.64 Å³ per atom. The calculation puts the magnetic moment at 0.00 Bohr magnetons per cell. As for the density: 11.02 g/cm³. For the energy of formation, the calculation gives 36 kJ/mol of atoms.



Entry from Alexandria: a relaxed structure of ZnCd2P (PBE).

abc: 5.526 10.676 3.045
angles: 90.00 118.41 90.00
Space group C2/m (No. 12)
Asymmetric unit:
1 Zn 0.000 0.000 0.000 [2 per cell]
2 Cd 0.250 0.250 0.000 [4 per cell]
3 P 0.000 0.500 0.000 [2 per cell]

Output
The crystal system is monoclinic. Its energy above the most stable polymorph in this dataset is 178 meV/atom. As for the volume: 19.75 Å³ per atom. The calculation puts the magnetic moment at 0.00 Bohr magnetons per cell. As for the density: 6.75 g/cm³. For the energy of formation, the calculation gives 27 kJ/mol of atoms.



Entry from Alexandria: a relaxed structure of Er3GePb (PBE).

abc: 4.578 6.859 8.871
angles: 90.00 90.00 90.00
Space group Pmmn (No. 59, origin choice 2)
Asymmetric unit:
1 Er 0.250 0.003 0.170 [4 per cell]
2 Er 0.250 0.250 0.576 [2 per cell]
3 Ge 0.250 0.250 0.902 [2 per cell]
4 Pb 0.250 0.750 0.648 [2 per cell]

Output
The crystal system is orthorhombic. As for the volume: 27.85 Å³ per atom. The calculation puts the magnetic moment at 0.00 Bohr magnetons per cell. As for the density: 9.32 g/cm³. For the energy of formation, the calculation gives -56 kJ/mol of atoms.



Total energy values, unit eV/f.u., following the record order: -8.62 -17.28 -17.88 -11.49 -7.41 -24.90.